<one>
This record from Alexandria describes a relaxed BeHgP2 crystal. The functional is GGA-PBE.

Results
Its symmetry is F-43m (216). The calculation puts the magnetic moment at 0.00 Bohr magnetons per cell. The calculation puts the density of states at the Fermi level at 8.34 states/eV per cell.

```
BeHgP2
1.0
6.350 0.000 0.000
0.000 6.350 0.000
0.000 0.000 6.350
Be Hg P
4 4 8
Direct
0.000 0.000 0.000 Be
0.000 0.500 0.500 Be
0.500 0.000 0.500 Be
0.500 0.500 0.000 Be
0.250 0.250 0.250 Hg
0.250 0.750 0.750 Hg
0.750 0.250 0.750 Hg
0.750 0.750 0.250 Hg
0.000 0.000 0.500 P
0.000 0.500 0.000 P
0.250 0.250 0.750 P
0.250 0.750 0.250 P
0.500 0.000 0.000 P
0.500 0.500 0.500 P
0.750 0.250 0.250 P
0.750 0.750 0.750 P
```


<two>
This record from Alexandria describes a relaxed BeHgP2 crystal. The functional is GGA-PBE.

Results
Its symmetry is Fm-3m (225). The calculation puts the magnetic moment at 0.00 Bohr magnetons per cell. The calculation puts the density of states at the Fermi level at 11.24 states/eV per cell.

```
BeHgP2
1.0
6.435 0.000 0.000
0.000 6.435 0.000
0.000 0.000 6.435
Be Hg P
4 4 8
Direct
0.000 0.000 0.000 Be
0.000 0.500 0.500 Be
0.500 0.000 0.500 Be
0.500 0.500 0.000 Be
0.000 0.000 0.500 Hg
0.000 0.500 0.000 Hg
0.500 0.000 0.000 Hg
0.500 0.500 0.500 Hg
0.250 0.250 0.250 P
0.250 0.250 0.750 P
0.250 0.750 0.250 P
0.250 0.750 0.750 P
0.750 0.250 0.250 P
0.750 0.250 0.750 P
0.750 0.750 0.250 P
0.750 0.750 0.750 P
```


<one> comes first in stability; the runner-up is 57 meV per atom higher.